Entry 1:
First-principles (PBE-GGA) data for crystalline TbTmPa2C4 at its relaxed geometry, as listed in the Alexandria database.

Lattice parameters (Å, degrees): 3.6272 6.1809 6.2832 70.14 90.00 90.00
Last column: nearest neighbours and their distance in Å.
Fractional coordinates of all 8 atoms:
Tb  0.5000  0.5000  0.0000  6 C 2.63
Tm  0.0000  0.5000  0.5000  6 C 2.62
Pa  0.0000  0.0000  0.0000  6 C 2.49
Pa  0.5000  0.0000  0.5000  6 C 2.47-2.48
C  0.0000  0.7729  0.7405  3 Pa 2.47-2.49, 1 Tm 2.62, 2 Tb 2.63
C  0.0000  0.2271  0.2595  3 Pa 2.47-2.49, 1 Tm 2.62, 2 Tb 2.63
C  0.5000  0.7708  0.2444  3 Pa 2.48-2.49, 2 Tm 2.62, 1 Tb 2.63
C  0.5000  0.2292  0.7556  3 Pa 2.48-2.49, 2 Tm 2.62, 1 Tb 2.63

Values from the calculation:
ΔH_f (0 K): -3.3 eV/f.u.
Calculated density: 10.5 g/cm3

=====

Entry 2:
First-principles (PBE-GGA) data for crystalline TbPa2VC4 at its relaxed geometry, as listed in the Alexandria database.

Lattice parameters (Å, degrees): 3.5168 6.0754 12.3489 90.00 90.00 106.82
Last column: nearest neighbours and their distance in Å.
Fractional coordinates of all 16 atoms:
Tb  0.1068  0.2135  0.7500  6 C 2.75-2.78
Tb  0.8932  0.7865  0.2500  6 C 2.75-2.78
Pa  0.3678  0.7355  0.5469  6 C 2.41-2.58
Pa  0.6322  0.2645  0.0469  6 C 2.41-2.58
Pa  0.6322  0.2645  0.4531  6 C 2.41-2.58
Pa  0.3678  0.7355  0.9531  6 C 2.41-2.58
V  0.8340  0.6681  0.7500  4 C 1.90-2.03
V  0.1660  0.3319  0.2500  4 C 1.90-2.03
C  0.2655  0.5311  0.1281  1 V 1.90
C  0.7345  0.4689  0.6281  1 V 1.90
C  0.7345  0.4689  0.8719  1 V 1.90
C  0.2655  0.5311  0.3719  1 V 1.90
C  0.0000  0.0000  0.5000  4 Pa 2.41
C  0.0000  0.0000  0.0000  4 Pa 2.41
C  0.4214  0.8427  0.7500  2 V 2.03
C  0.5786  0.1573  0.2500  2 V 2.03

Values from the calculation:
ΔH_f (0 K): -1.7 eV/f.u.
Calculated density: 9.5 g/cm3

=====

Entry 3:
First-principles (PBE-GGA) data for crystalline Tb2PaWC4 at its relaxed geometry, as listed in the Alexandria database.

Lattice parameters (Å, degrees): 3.4610 6.2027 12.4443 90.00 90.00 106.20
Last column: nearest neighbours and their distance in Å.
Fractional coordinates of all 16 atoms:
Tb  0.3686  0.7373  0.5368  3 C 2.38-2.46
Tb  0.6314  0.2627  0.0368  3 C 2.38-2.46
Tb  0.6314  0.2627  0.4632  3 C 2.38-2.46
Tb  0.3686  0.7373  0.9632  3 C 2.38-2.46
Pa  0.1067  0.2134  0.7500  6 C 2.57-2.68
Pa  0.8933  0.7866  0.2500  6 C 2.57-2.68
W  0.8430  0.6861  0.7500  4 C 1.95-2.13
W  0.1570  0.3139  0.2500  4 C 1.95-2.13
C  0.2691  0.5382  0.1362  1 W 1.95
C  0.7309  0.4618  0.6362  1 W 1.95
C  0.7309  0.4618  0.8638  1 W 1.95
C  0.2691  0.5382  0.3638  1 W 1.95
C  0.0000  0.0000  0.5000  4 Tb 2.38
C  0.0000  0.0000  0.0000  4 Tb 2.38
C  0.4469  0.8938  0.7500  2 W 2.13
C  0.5531  0.1062  0.2500  2 W 2.13

Values from the calculation:
ΔH_f (0 K): -0.2 eV/f.u.
Calculated density: 10.1 g/cm3